Record 1
DFT (PBEsol) results for an optimized crystal structure of YScIn2.

Formation energy: -0.4375 eV/atom
DOS at the Fermi energy: 6.2 states/eV/cell
Energy: -5.2858 eV/atom
Volume: 24.06 Å³ per atom

```
YScIn2
1.0
3.718 0.000 0.000
0.000 4.893 0.000
0.000 0.000 10.584
Y Sc In
2 2 4
Direct
0.000 0.000 0.000
0.500 0.500 0.500
0.000 0.500 0.241
0.500 0.000 0.741
0.000 0.000 0.481
0.000 0.500 0.759
0.500 0.000 0.259
0.500 0.500 0.981
```

Record 2
DFT (PBEsol) results for an optimized crystal structure of YScIn2.

Formation energy: -0.3611 eV/atom
DOS at the Fermi energy: 6.8 states/eV/cell
Energy: -5.2093 eV/atom
Volume: 25.23 Å³ per atom

```
YScIn2
1.0
9.703 0.000 0.000
0.000 3.640 0.000
-1.481 0.000 5.714
Y Sc In
2 2 4
Direct
0.000 0.000 0.000
0.500 0.500 0.000
0.000 0.500 0.500
0.500 0.000 0.500
0.245 0.000 0.723
0.255 0.500 0.277
0.745 0.500 0.723
0.755 0.000 0.277
```

Record 3
DFT (PBEsol) results for an optimized crystal structure of Y2ScIn.

Formation energy: -0.3064 eV/atom
DOS at the Fermi energy: 5.7 states/eV/cell
Energy: -6.1145 eV/atom
Volume: 25.46 Å³ per atom

```
Y2ScIn
1.0
4.676 0.000 0.000
0.000 4.676 0.000
0.000 0.000 4.658
Y Sc In
2 1 1
Direct
0.000 0.500 0.000
0.500 0.000 0.000
0.000 0.000 0.500
0.500 0.500 0.500
```

Record 4
DFT (PBEsol) results for an optimized crystal structure of Y2ScIn.

Formation energy: -0.2554 eV/atom
DOS at the Fermi energy: 4.9 states/eV/cell
Energy: -6.0635 eV/atom
Volume: 26.33 Å³ per atom

```
Y2ScIn
1.0
3.453 0.000 0.000
0.000 3.453 0.000
0.000 0.000 8.830
Y Sc In
2 1 1
Direct
0.000 0.000 0.000
0.500 0.500 0.290
0.500 0.500 0.740
0.000 0.000 0.531
```

Record 5
DFT (PBEsol) results for an optimized crystal structure of Y2ScIn.

Formation energy: -0.2563 eV/atom
DOS at the Fermi energy: 12.3 states/eV/cell
Energy: -6.0643 eV/atom
Volume: 25.58 Å³ per atom

```
Y2ScIn
1.0
4.578 0.000 0.000
0.000 4.578 0.000
0.000 0.000 9.766
Y Sc In
4 2 2
Direct
0.000 0.000 0.000
0.000 0.500 0.250
0.500 0.000 0.750
0.500 0.500 0.500
0.000 0.500 0.750
0.500 0.000 0.250
0.000 0.000 0.500
0.500 0.500 0.000
```

Record 6
DFT (PBEsol) results for an optimized crystal structure of Y2ScIn.

Formation energy: -0.2796 eV/atom
DOS at the Fermi energy: 10.3 states/eV/cell
Energy: -6.0877 eV/atom
Volume: 25.44 Å³ per atom

```
Y2ScIn
1.0
4.591 0.000 0.000
0.000 4.591 0.000
0.000 0.000 9.659
Y Sc In
4 2 2
Direct
0.000 0.500 0.250
0.000 0.500 0.750
0.500 0.000 0.250
0.500 0.000 0.750
0.000 0.000 0.000
0.500 0.500 0.500
0.000 0.000 0.500
0.500 0.500 0.000
```

Record 7
DFT (PBEsol) results for an optimized crystal structure of Y2ScIn.

Formation energy: -0.2496 eV/atom
DOS at the Fermi energy: 11.9 states/eV/cell
Energy: -6.0577 eV/atom
Volume: 26.59 Å³ per atom

```
Y2ScIn
1.0
4.998 0.000 0.000
0.000 3.468 0.000
0.000 0.000 12.271
Y Sc In
4 2 2
Direct
0.000 0.000 0.000
0.000 0.500 0.500
0.500 0.000 0.330
0.500 0.500 0.830
0.000 0.000 0.730
0.000 0.500 0.230
0.500 0.000 0.598
0.500 0.500 0.098
```

Record 8
DFT (PBEsol) results for an optimized crystal structure of ScZn2In.

Formation energy: -0.1715 eV/atom
DOS at the Fermi energy: 3.9 states/eV/cell
Energy: -3.3594 eV/atom
Volume: 17.84 Å³ per atom

```
ScZn2In
1.0
6.584 0.000 0.000
0.000 6.584 0.000
0.000 0.000 6.584
Sc Zn In
4 8 4
Direct
0.000 0.000 0.000
0.000 0.500 0.500
0.500 0.000 0.500
0.500 0.500 0.000
0.000 0.000 0.500
0.000 0.500 0.000
0.250 0.250 0.250
0.250 0.750 0.750
0.500 0.000 0.000
0.500 0.500 0.500
0.750 0.250 0.750
0.750 0.750 0.250
0.250 0.250 0.750
0.250 0.750 0.250
0.750 0.250 0.250
0.750 0.750 0.750
```

Record 9
DFT (PBEsol) results for an optimized crystal structure of Sc2ZnIn.

Formation energy: -0.4364 eV/atom
DOS at the Fermi energy: 13.9 states/eV/cell
Energy: -4.8801 eV/atom
Volume: 19.81 Å³ per atom

```
Sc2ZnIn
1.0
6.818 0.000 0.000
0.000 6.818 0.000
0.000 0.000 6.818
Sc Zn In
8 4 4
Direct
0.250 0.250 0.250
0.250 0.250 0.750
0.250 0.750 0.250
0.250 0.750 0.750
0.750 0.250 0.250
0.750 0.250 0.750
0.750 0.750 0.250
0.750 0.750 0.750
0.000 0.000 0.000
0.000 0.500 0.500
0.500 0.000 0.500
0.500 0.500 0.000
0.000 0.000 0.500
0.000 0.500 0.000
0.500 0.000 0.000
0.500 0.500 0.500
```

Record 10
DFT (PBEsol) results for an optimized crystal structure of ScZnIn2.

Formation energy: -0.3698 eV/atom
DOS at the Fermi energy: 1.3 states/eV/cell
Energy: -3.9080 eV/atom
Volume: 19.60 Å³ per atom

```
ScZnIn2
1.0
4.302 0.000 0.000
0.000 4.302 0.000
0.000 0.000 4.236
Sc Zn In
1 1 2
Direct
0.000 0.000 0.000
0.500 0.500 0.000
0.000 0.500 0.500
0.500 0.000 0.500
```

Record 11
DFT (PBEsol) results for an optimized crystal structure of ScZnIn2.

Formation energy: -0.1857 eV/atom
DOS at the Fermi energy: 5.6 states/eV/cell
Energy: -3.7239 eV/atom
Volume: 20.47 Å³ per atom

```
ScZnIn2
1.0
4.787 0.000 0.000
0.000 5.021 0.000
0.000 0.000 6.813
Sc Zn In
2 2 4
Direct
0.000 0.000 0.000
0.500 0.500 0.000
0.000 0.000 0.500
0.500 0.500 0.500
0.000 0.500 0.274
0.000 0.500 0.726
0.500 0.000 0.274
0.500 0.000 0.726
```

Record 12
DFT (PBEsol) results for an optimized crystal structure of Sc2ZnIn.

Formation energy: -0.3675 eV/atom
DOS at the Fermi energy: 7.6 states/eV/cell
Energy: -4.8112 eV/atom
Volume: 20.48 Å³ per atom

```
Sc2ZnIn
1.0
4.382 0.000 0.000
0.000 3.363 0.000
0.000 0.000 11.118
Sc Zn In
4 2 2
Direct
0.000 0.000 0.000
0.000 0.500 0.500
0.500 0.000 0.329
0.500 0.500 0.829
0.000 0.000 0.746
0.000 0.500 0.246
0.500 0.000 0.598
0.500 0.500 0.098
```

Record 13
DFT (PBEsol) results for an optimized crystal structure of ScZnIn3.

Formation energy: 0.2987 eV/atom
DOS at the Fermi energy: 3.4 states/eV/cell
Energy: -3.1284 eV/atom
Volume: 25.41 Å³ per atom

```
ScZnIn3
1.0
5.027 0.000 0.000
0.000 5.027 0.000
0.000 0.000 5.027
Sc Zn In
1 1 3
Direct
0.000 0.000 0.000
0.500 0.500 0.500
0.000 0.500 0.500
0.500 0.000 0.500
0.500 0.500 0.000
```

Record 14
DFT (PBEsol) results for an optimized crystal structure of ScZn2In.

Formation energy: -0.3210 eV/atom
DOS at the Fermi energy: 2.5 states/eV/cell
Energy: -3.5090 eV/atom
Volume: 17.78 Å³ per atom

```
ScZn2In
1.0
4.176 0.000 0.000
0.000 4.176 0.000
0.000 0.000 4.077
Sc Zn In
1 2 1
Direct
0.000 0.000 0.000
0.000 0.500 0.500
0.500 0.000 0.500
0.500 0.500 0.000
```

Record 15
DFT (PBEsol) results for an optimized crystal structure of ScZn2In2.

Formation energy: -0.1369 eV/atom
DOS at the Fermi energy: 2.8 states/eV/cell
Energy: -3.2838 eV/atom
Volume: 19.81 Å³ per atom
Energy above the most stable polymorph in this dataset: 0.0 meV/atom

```
ScZn2In2
1.0
4.182 0.000 0.000
0.000 4.182 0.000
0.000 0.000 11.327
Sc Zn In
2 4 4
Direct
0.000 0.000 0.000
0.500 0.500 0.500
0.000 0.000 0.400
0.000 0.000 0.600
0.500 0.500 0.100
0.500 0.500 0.900
0.000 0.500 0.250
0.000 0.500 0.750
0.500 0.000 0.250
0.500 0.000 0.750
```

Record 16
DFT (PBEsol) results for an optimized crystal structure of Sc2ZnIn.

Formation energy: -0.4555 eV/atom
DOS at the Fermi energy: 3.2 states/eV/cell
Energy: -4.8992 eV/atom
Volume: 19.66 Å³ per atom

```
Sc2ZnIn
1.0
3.371 0.000 0.000
0.000 3.371 0.000
0.000 0.000 6.919
Sc Zn In
2 1 1
Direct
0.000 0.000 0.229
0.000 0.000 0.771
0.500 0.500 0.000
0.500 0.500 0.500
```

Record 17
DFT (PBEsol) results for an optimized crystal structure of InSe3.

DOS at the Fermi energy: 2.6 states/eV/cell
Energy: -3.6788 eV/atom
Volume: 24.66 Å³ per atom
E_form (uncorrected): -0.2 eV per formula unit

```
InSe3
1.0
3.725 0.000 0.000
0.000 3.835 0.000
0.000 0.000 13.808
In Se
2 6
Direct
0.000 0.000 0.000
0.500 0.500 0.500
0.000 0.000 0.500
0.000 0.500 0.263
0.000 0.500 0.737
0.500 0.000 0.237
0.500 0.000 0.763
0.500 0.500 0.000
```

Record 18
DFT (PBEsol) results for an optimized crystal structure of In2Se3.

DOS at the Fermi energy: 7.9 states/eV/cell
Energy: -3.7013 eV/atom
Volume: 26.70 Å³ per atom
E_form (uncorrected): -1.0 eV per formula unit

```
In2Se3
1.0
4.028 0.000 0.000
-2.014 3.489 0.000
0.000 0.000 28.497
In Se
6 9
Direct
0.000 0.000 0.000
0.000 0.000 0.460
0.333 0.667 0.127
0.333 0.667 0.667
0.667 0.333 0.333
0.667 0.333 0.793
0.000 0.000 0.172
0.000 0.000 0.717
0.000 0.000 0.914
0.333 0.667 0.384
0.333 0.667 0.581
0.333 0.667 0.839
0.667 0.333 0.050
0.667 0.333 0.247
0.667 0.333 0.505
```

Record 19
DFT (PBEsol) results for an optimized crystal structure of In2Se3.

DOS at the Fermi energy: 1.3 states/eV/cell
Energy: -3.9762 eV/atom
Volume: 25.39 Å³ per atom
E_form (uncorrected): -2.4 eV per formula unit

```
In2Se3
1.0
3.949 0.000 0.000
-1.974 3.420 0.000
0.000 0.000 9.402
In Se
2 3
Direct
0.333 0.667 0.304
0.667 0.333 0.696
0.000 0.000 0.500
0.333 0.667 0.839
0.667 0.333 0.161
```

Record 20
DFT (PBEsol) results for an optimized crystal structure of In3Se.

DOS at the Fermi energy: 1.6 states/eV/cell
Energy: -3.3100 eV/atom
Volume: 25.23 Å³ per atom
E_form (uncorrected): -0.4 eV per formula unit

```
In3Se
1.0
4.656 0.000 0.000
0.000 4.656 0.000
0.000 0.000 4.656
In Se
3 1
Direct
0.000 0.000 0.500
0.000 0.500 0.000
0.500 0.000 0.000
0.500 0.500 0.500
```

Record 21
DFT (PBEsol) results for an optimized crystal structure of In3Se.

DOS at the Fermi energy: 3.0 states/eV/cell
Energy: -3.3537 eV/atom
Volume: 24.74 Å³ per atom
E_form (uncorrected): -0.6 eV per formula unit

```
In3Se
1.0
3.678 0.000 0.000
0.000 5.205 0.000
0.000 0.000 10.337
In Se
6 2
Direct
0.000 0.000 0.000
0.000 0.500 0.224
0.000 0.500 0.776
0.500 0.000 0.276
0.500 0.000 0.724
0.500 0.500 0.500
0.000 0.000 0.500
0.500 0.500 0.000
```

Record 22
DFT (PBEsol) results for an optimized crystal structure of In3Se.

DOS at the Fermi energy: 4.7 states/eV/cell
Energy: -3.3980 eV/atom
Volume: 25.65 Å³ per atom
E_form (uncorrected): -0.8 eV per formula unit

```
In3Se
1.0
3.896 0.000 0.000
-1.948 3.374 0.000
0.000 0.000 23.417
In Se
9 3
Direct
0.000 0.000 0.000
0.000 0.000 0.244
0.000 0.000 0.756
0.333 0.667 0.423
0.333 0.667 0.667
0.333 0.667 0.910
0.667 0.333 0.090
0.667 0.333 0.333
0.667 0.333 0.577
0.000 0.000 0.500
0.333 0.667 0.167
0.667 0.333 0.833
```

Record 23
DFT (PBEsol) results for an optimized crystal structure of In2Se3.

DOS at the Fermi energy: 15.1 states/eV/cell
Energy: -3.5530 eV/atom
Volume: 23.78 Å³ per atom
E_form (uncorrected): -0.2 eV per formula unit

```
In2Se3
1.0
3.985 0.000 0.000
-1.992 3.451 0.000
0.000 0.000 25.943
In Se
6 9
Direct
0.000 0.000 0.206
0.000 0.000 0.794
0.333 0.667 0.461
0.333 0.667 0.873
0.667 0.333 0.127
0.667 0.333 0.539
0.000 0.000 0.000
0.000 0.000 0.400
0.000 0.000 0.600
0.333 0.667 0.067
0.333 0.667 0.266
0.333 0.667 0.667
0.667 0.333 0.333
0.667 0.333 0.734
0.667 0.333 0.933
```

Record 24
DFT (PBEsol) results for an optimized crystal structure of InSe3.

DOS at the Fermi energy: 4.5 states/eV/cell
Energy: -3.7939 eV/atom
Volume: 22.69 Å³ per atom
E_form (uncorrected): -0.6 eV per formula unit

```
InSe3
1.0
3.955 0.000 0.000
0.000 3.955 0.000
0.000 0.000 11.601
In Se
2 6
Direct
0.000 0.000 0.000
0.500 0.500 0.500
0.000 0.000 0.242
0.000 0.000 0.500
0.000 0.000 0.758
0.500 0.500 0.000
0.500 0.500 0.258
0.500 0.500 0.742
```

Record 25
DFT (PBEsol) results for an optimized crystal structure of In6Se7.

DOS at the Fermi energy: 1.0 states/eV/cell
Energy: -3.9282 eV/atom
Volume: 25.14 Å³ per atom
E_form (uncorrected): -6.2 eV per formula unit

```
In6Se7
1.0
9.387 0.000 0.000
0.000 4.053 0.000
-3.249 0.000 17.182
In Se
12 14
Direct
0.017 0.000 0.106
0.059 0.999 0.621
0.183 0.499 0.309
0.327 0.000 0.966
0.352 0.499 0.546
0.459 0.999 0.770
0.541 0.499 0.230
0.648 0.999 0.454
0.673 0.500 0.034
0.817 0.999 0.691
0.941 0.499 0.379
0.983 0.500 0.894
0.121 0.000 0.836
0.160 0.999 0.489
0.169 0.499 0.032
0.239 0.499 0.679
0.253 0.999 0.223
0.448 0.499 0.406
0.469 0.500 0.905
0.531 0.000 0.095
0.552 0.999 0.594
0.747 0.499 0.777
0.761 0.999 0.321
0.831 0.999 0.968
0.840 0.499 0.511
0.879 0.500 0.164
```

Record 26
DFT (PBEsol) results for an optimized crystal structure of In23Se28.

DOS at the Fermi energy: 9.0 states/eV/cell
Energy: -3.9331 eV/atom
Volume: 25.38 Å³ per atom
E_form (uncorrected): -24.2 eV per formula unit

```
In23Se28
1.0
9.376 -4.028 0.000
9.376 4.028 0.000
-6.052 0.000 17.137
In Se
23 28
Direct
0.000 0.000 0.000
0.071 0.572 0.725
0.105 0.105 0.411
0.112 0.614 0.072
0.137 0.137 0.650
0.191 0.694 0.558
0.227 0.227 0.145
0.228 0.727 0.797
0.261 0.261 0.481
0.336 0.837 0.213
0.447 0.949 0.877
0.501 0.501 0.001
0.572 0.071 0.725
0.602 0.602 0.413
0.614 0.112 0.072
0.636 0.636 0.650
0.694 0.191 0.558
0.725 0.725 0.140
0.727 0.228 0.797
0.760 0.760 0.477
0.837 0.336 0.213
0.887 0.887 0.335
0.949 0.447 0.877
0.020 0.020 0.510
0.057 0.057 0.880
0.073 0.573 0.424
0.073 0.579 0.201
0.153 0.651 0.941
0.183 0.183 0.270
0.259 0.259 0.010
0.259 0.259 0.785
0.273 0.776 0.328
0.310 0.812 0.699
0.362 0.862 0.074
0.376 0.376 0.615
0.454 0.956 0.594
0.472 0.472 0.137
0.520 0.520 0.512
0.558 0.558 0.880
0.573 0.073 0.424
0.579 0.073 0.201
0.651 0.153 0.941
0.684 0.684 0.269
0.758 0.758 0.785
0.759 0.759 0.007
0.776 0.273 0.328
0.812 0.310 0.699
0.862 0.362 0.074
0.873 0.873 0.615
0.956 0.454 0.594
0.972 0.972 0.136
```